The following is a DFT calculation (PBE) of a relaxed LaIn3Te3 crystal.

Geometry as extended XYZ:
```
14
Lattice="8.731 0.871 3.881 3.258 7.903 4.053 0.706 0.691 8.268" Properties=species:S:1:pos:R:3 pbc="T T T"
In 4.088 2.292 9.440
In 4.296 6.310 10.732
In 8.399 3.155 5.470
In 8.280 1.873 9.306
In 4.415 7.592 6.896
In 8.608 7.173 6.762
Te 6.572 7.936 9.099
Te 9.698 4.518 8.203
Te 2.997 4.947 7.999
Te 6.468 3.757 10.906
Te 6.123 1.530 7.103
Te 6.227 5.708 5.296
La 8.650 6.186 10.839
La 4.045 3.279 5.363
```

Calculated values
symmetry: No. 2
energy relative to the elements, uncorrected: -0.6285 eV/atom
calculated total energy: -53.9 eV for the cell shown
calculated volume: 512.21 Å³/cell